i.
A relaxed SrP2Pt crystal, computed with PBE.

Computed properties:
Its crystal system is tetragonal. The calculation puts the volume at 22.7 A^3/atom.

Structure (POSCAR):
```
SrP2Pt
1.0
7.223 0.000 0.000
0.000 7.223 0.000
0.000 0.000 6.957
Sr P Pt
4 8 4
Direct
0.000 0.000 0.000
0.000 0.500 0.250
0.500 0.000 0.750
0.500 0.500 0.500
0.159 0.750 0.625
0.250 0.159 0.375
0.250 0.341 0.875
0.341 0.750 0.125
0.659 0.250 0.125
0.750 0.659 0.875
0.750 0.841 0.375
0.841 0.250 0.625
0.000 0.000 0.500
0.000 0.500 0.750
0.500 0.000 0.250
0.500 0.500 0.000
```


ii.
A relaxed SrP2Pt crystal, computed with PBE.

Computed properties:
Its crystal system is tetragonal. The calculation puts the volume at 20.0 A^3/atom.

Structure (POSCAR):
```
SrP2Pt
1.0
3.476 0.000 0.000
0.000 3.476 0.000
0.000 0.000 6.604
Sr P Pt
1 2 1
Direct
0.000 0.000 0.000
0.000 0.000 0.516
0.500 0.500 0.274
0.500 0.500 0.632
```


iii.
A relaxed SrP2Pt crystal, computed with PBE.

Computed properties:
Its crystal system is monoclinic. The calculation puts the volume at 24.3 A^3/atom.

Structure (POSCAR):
```
SrP2Pt
1.0
10.404 0.000 0.000
0.000 4.076 0.000
-0.856 0.000 4.577
Sr P Pt
2 4 2
Direct
0.000 0.000 0.000
0.500 0.500 0.000
0.089 0.500 0.508
0.296 0.500 0.429
0.589 0.000 0.508
0.796 0.000 0.429
0.227 0.000 0.596
0.727 0.500 0.596
```


iv.
A relaxed SrP2Pt crystal, computed with PBE.

Computed properties:
Its crystal system is tetragonal. The calculation puts the volume at 20.0 A^3/atom.

Structure (POSCAR):
```
SrP2Pt
1.0
3.580 0.000 0.000
0.000 3.580 0.000
0.000 0.000 6.254
Sr P Pt
1 2 1
Direct
0.000 0.000 0.000
0.500 0.500 0.332
0.500 0.500 0.668
0.000 0.000 0.500
```


Which structure loses on stability? ii does.